Run w
DFT (GGA-PBE) results for crystalline AlAg3C at its relaxed geometry.

Properties
For the volume, the calculation gives 84.4 Å³/cell. The value obtained for the spin magnetization is 0.00 μB/f.u.

Lattice parameters (Å, degrees): 4.386 4.386 4.386 90.00 90.00 90.00
Space group Pm-3m (No. 221)
Inequivalent atoms, fractional coordinates:
Al 0.000 0.000 0.000 (multiplicity 1)
Ag 0.000 0.500 0.500 (multiplicity 3)
C 0.500 0.500 0.500 (multiplicity 1)

---

Run x
DFT (GGA-PBE) results for crystalline AlAg3C at its relaxed geometry.

Properties
For the volume, the calculation gives 113.1 Å³/cell. The value obtained for the spin magnetization is 1.01 μB/f.u.

Lattice parameters (Å, degrees): 4.836 4.836 4.836 90.00 90.00 90.00
Space group Pm-3m (No. 221)
Inequivalent atoms, fractional coordinates:
Al 0.000 0.000 0.000 (multiplicity 1)
Ag 0.000 0.000 0.500 (multiplicity 3)
C 0.500 0.500 0.500 (multiplicity 1)

---

Quick one: most stable of them? run w